Entry 1:
Below is a PBEsol-optimized structure of Re3MoBr, with properties calculated at the meta-GGA SCAN level.

abc: 4.7127 4.7127 4.7127
angles: 90.00 90.00 90.00
With the nearest neighbours (Å) after each atom.
Element x y z (fractional)
Re 0.0000 0.0000 0.5000  2 Mo 2.36
Re 0.0000 0.5000 0.0000  2 Mo 2.36
Re 0.5000 0.0000 0.0000  2 Mo 2.36
Mo 0.0000 0.0000 0.0000  6 Re 2.36
Br 0.5000 0.5000 0.5000  12 Re 3.33

## Properties
E_tot   -50.903 eV/atom
Raw formation energy   13.1 eV per formula unit
Space group   No. 221
Spin magnetization   2.86 μB/cell


Entry 2:
Below is a PBEsol-optimized structure of TaInI2, with properties calculated at the meta-GGA SCAN level.

abc: 5.0821 5.0821 5.0821
angles: 60.00 60.00 60.00
With the nearest neighbours (Å) after each atom.
Element x y z (fractional)
Ta 0.0000 0.0000 0.0000  8 I 3.11
In 0.5000 0.5000 0.5000  8 I 3.11
I 0.2500 0.2500 0.2500  4 In 3.11, 4 Ta 3.11
I 0.7500 0.7500 0.7500  4 In 3.11, 4 Ta 3.11

## Properties
E_tot   -42.487 eV/atom
Raw formation energy   3.5 eV per formula unit
Space group   No. 225
Spin magnetization   0.00 μB/cell


Entry 3:
Below is a PBEsol-optimized structure of BaCoBi2F, with properties calculated at the meta-GGA SCAN level.

abc: 4.7921 4.7921 6.2173
angles: 90.00 90.00 90.00
With the nearest neighbours (Å) after each atom.
Element x y z (fractional)
Ba 0.0000 0.0000 0.0000  4 F 3.39
Co 0.5000 0.5000 0.5000  4 Bi 2.40
Bi 0.0000 0.5000 0.5000  2 Co 2.40
Bi 0.5000 0.0000 0.5000  2 Co 2.40
F 0.5000 0.5000 0.0000  2 Co 3.11, 4 Ba 3.39

## Properties
E_tot   -44.132 eV/atom
Raw formation energy   -3.1 eV per formula unit
Space group   No. 123
Spin magnetization   0.00 μB/cell


Entry 4:
Below is a PBEsol-optimized structure of ScAlCu2, with properties calculated at the meta-GGA SCAN level.

abc: 4.0961 4.9888 4.9888
angles: 36.39 90.00 90.00
With the nearest neighbours (Å) after each atom.
Element x y z (fractional)
Sc 0.0000 0.0000 0.0000  7 Cu 2.56-2.70
Al 0.5000 0.3035 0.3035  7 Cu 2.58-2.68
Cu 0.0000 0.7298 0.7298  2 Cu 2.46, 3 Sc 2.56-2.68, 4 Al 2.67
Cu 0.5000 0.5859 0.5859  2 Cu 2.46, 3 Al 2.58-2.68, 4 Sc 2.70

## Properties
E_tot   -13.414 eV/atom
Space group   No. 38
Spin magnetization   0.00 μB/cell